Compound: Mg5Pb3
Source: Alexandria via LeMat-Bulk
Functional: PBEsol
Structure: optimized geometry

Properties
E above lowest polymorph   0.00 eV per formula unit
Formation enthalpy at 0 K   -0.08 eV per atom
Total magnetization   0.00 μB per formula unit
Uncorrected energy   -2.655 eV per atom
ρ   6.31 g/cm³

```
data_Mg5Pb3
_space_group_name_H-M_alt 'C m m m'
_space_group_IT_number 65
_space_group_name_Hall '-C 2 2'
_cell_length_a 8.755
_cell_length_b 9.616
_cell_length_c 4.645
_cell_angle_alpha 90.00
_cell_angle_beta 90.00
_cell_angle_gamma 90.00
loop_
_atom_site_label
_atom_site_fract_x
_atom_site_fract_y
_atom_site_fract_z
Mg1 0.000 0.000 0.000
Mg2 0.236 0.500 0.500
Mg3 0.250 0.250 0.000
Pb1 0.000 0.223 0.500
Pb2 0.000 0.500 0.000
```